(1)
# meta-GGA SCAN Si2Ru, single point on PBEsol structure
# Uncorrected formation energy, eV per atom: -0.277
# Mass density, kg/m3: 6599
# M_tot, Bohr magnetons per cell: 0.00
data_Si2Ru
_chemical_formula_sum 'Si8 Ru4'
_space_group_name_H-M_alt 'C 1 2/m 1'
_space_group_IT_number 12
_cell_length_a 8.6930
_cell_length_b 2.8701
_cell_length_c 6.5225
_cell_angle_alpha 90.00
_cell_angle_beta 103.45
_cell_angle_gamma 90.00
loop_
_space_group_symop_operation_xyz
'x,y,z'
'-x,-y,-z'
'-x,y,-z'
'x,-y,z'
'x+1/2,y+1/2,z'
'-x+1/2,-y+1/2,-z'
'-x+1/2,y+1/2,-z'
'x+1/2,-y+1/2,z'
loop_
_atom_site_label
_atom_site_fract_x
_atom_site_fract_y
_atom_site_fract_z
Si1 0.1463 0.0000 0.0389
Si2 0.1615 0.0000 0.6036
Ru1 0.0442 0.5000 0.2941

***

(2)
# meta-GGA SCAN SiRu4, single point on PBEsol structure
# Energy above the lowest structure with this stoichiometry, meV/atom: 0
# Uncorrected formation energy, eV per atom: -0.082
# Mass density, kg/m3: 10945
# M_tot, Bohr magnetons per cell: 0.00
data_SiRu4
_chemical_formula_sum 'Si2 Ru8'
_space_group_name_H-M_alt 'I 4/m'
_space_group_IT_number 87
_space_group_name_Hall '-I 4'
_cell_length_a 5.9071
_cell_length_b 5.9071
_cell_length_c 3.7599
_cell_angle_alpha 90.00
_cell_angle_beta 90.00
_cell_angle_gamma 90.00
loop_
_atom_site_label
_atom_site_fract_x
_atom_site_fract_y
_atom_site_fract_z
Si1 0.0000 0.0000 0.0000
Ru1 0.1035 0.3055 0.5000

***

(3)
# meta-GGA SCAN Si3Ru, single point on PBEsol structure
# Uncorrected formation energy, eV per atom: 0.111
# Mass density, kg/m3: 5829
# M_tot, Bohr magnetons per cell: 0.00
data_Si3Ru
_chemical_formula_sum 'Si6 Ru2'
_space_group_name_H-M_alt 'P m -3 n'
_space_group_IT_number 223
_space_group_name_Hall '-P 4n 2 3'
_cell_length_a 4.7265
_cell_length_b 4.7265
_cell_length_c 4.7265
_cell_angle_alpha 90.00
_cell_angle_beta 90.00
_cell_angle_gamma 90.00
loop_
_atom_site_label
_atom_site_fract_x
_atom_site_fract_y
_atom_site_fract_z
Si1 0.0000 0.2500 0.5000
Ru1 0.0000 0.0000 0.0000

***

(4)
# meta-GGA SCAN SiRu3, single point on PBEsol structure
# Uncorrected formation energy, eV per atom: -0.305
# Mass density, kg/m3: 10719
# M_tot, Bohr magnetons per cell: 0.00
data_SiRu3
_chemical_formula_sum 'Si1 Ru3'
_space_group_name_H-M_alt 'P 4/m m m'
_space_group_IT_number 123
_space_group_name_Hall '-P 4 2'
_cell_length_a 2.7959
_cell_length_b 2.7959
_cell_length_c 6.5653
_cell_angle_alpha 90.00
_cell_angle_beta 90.00
_cell_angle_gamma 90.00
loop_
_atom_site_label
_atom_site_fract_x
_atom_site_fract_y
_atom_site_fract_z
Si1 0.0000 0.0000 0.0000
Ru1 0.0000 0.0000 0.5000
Ru2 0.5000 0.5000 0.2217